[1]
DFT (PBE) results for a relaxed structure of NiSe.

Calculated values
calculated total energy: -4.758 eV per atom
size of the total moment: 0.00 μB per formula unit
ΔE_f (raw): -125 meV/atom
crystal system: monoclinic

```
NiSe
1.0
5.980 -1.701 0.000
5.980 1.701 0.000
-2.493 0.000 5.105
Ni Se
3 3
direct
0.000 0.000 0.000
0.075 0.075 0.596
0.651 0.651 0.342
0.279 0.279 0.593
0.441 0.441 0.244
0.623 0.623 0.914
```

---

[2]
DFT (PBE) results for a relaxed structure of Sn2Au13.

Calculated values
calculated total energy: -3.285 eV per atom
size of the total moment: 0.00 μB per formula unit
energy relative to the elements: 0.090 eV/atom
crystal system: trigonal

```
Sn2Au13
1.0
3.684 2.127 7.251
-3.684 2.127 7.251
0.000 -4.254 7.251
Sn Au
2 13
direct
0.134 0.134 0.134
0.866 0.866 0.866
0.000 0.000 0.000
0.110 0.110 0.498
0.110 0.498 0.110
0.249 0.249 0.620
0.249 0.620 0.249
0.380 0.751 0.751
0.498 0.110 0.110
0.502 0.890 0.890
0.620 0.249 0.249
0.751 0.380 0.751
0.751 0.751 0.380
0.890 0.502 0.890
0.890 0.890 0.502
```